## AlMoIrW (GGA-PBE)

Data for an optimized crystal structure of AlMoIrW.

The space group is F-43m (No. 216) and the conventional cell measures 6.231, 6.231 and 6.231 Å, with angles of 90.00, 90.00 and 90.00 degrees. The inequivalent atoms are Al at (0.000, 0.000, 0.000), Mo at (0.250, 0.250, 0.250), Ir at (0.250, 0.250, 0.750) and W at (0.000, 0.000, 0.500).

The calculation puts the magnetic moment at 0.0000 μB per atom. The raw total energy comes out at -149.82 eV per cell. Its formation energy from the elements is -0.267 eV per atom.